DFT (PBE+U) results for a relaxed Tl2CrF crystal.

## Properties
* ρ: 9.97 g/cm³
* calculated volume: 19.98 Å³ per atom
* total DFT energy (no corrections): -3.06 eV/atom
* energy relative to the lowest polymorph listed for this composition: 852.0 meV per atom
* SG: Fm-3m, No. 225

a b c (Å): 4.835 4.835 4.835
angles (deg): 60.00 60.00 60.00
Last column: magnetic moment on the atom in μB.
Atoms (fractional coordinates):
Cr1 0.500 0.500 0.500  1.10
Tl1 0.250 0.250 0.250  0.01
Tl2 0.750 0.750 0.750  0.01
F1 0.000 0.000 0.000  0.03